## SiHg2Os (PBE-GGA)

Data for a geometry-optimized SiHg2Os structure.

Unit cell a=5.830 b=5.830 c=3.250 alpha=71.99 beta=71.99 gamma=121.05
Fractional positions:
Hg (0.000, 0.000, 0.000)
Hg (0.500, 0.500, 0.000)
Si (0.000, 0.500, 0.500)
Os (0.500, 0.000, 0.500)

The raw formation energy comes out at 0.746 eV per atom.

***

## LaZnIr (PBE-GGA)

Data for a geometry-optimized LaZnIr structure.

Unit cell a=4.802 b=4.802 c=4.802 alpha=60.00 beta=60.00 gamma=60.00
Fractional positions:
La (0.750, 0.750, 0.750)
Zn (0.000, 0.000, 0.000)
Ir (0.500, 0.500, 0.500)

The value obtained for the energy of formation from the pure elements is 0.198 eV per atom.

***

## NdDySc4 (PBE-GGA)

Data for a geometry-optimized NdDySc4 structure.

Unit cell a=8.468 b=5.352 c=9.849 alpha=90.01 beta=104.96 gamma=129.19
Fractional positions:
Nd (0.623, 0.373, 0.747)
Dy (0.873, 0.123, 0.247)
Sc (0.543, 0.293, 0.083)
Sc (0.204, 0.954, 0.416)
Sc (0.713, 0.462, 0.416)
Dy (0.127, 0.877, 0.753)
Sc (0.796, 0.046, 0.584)
Nd (0.377, 0.627, 0.253)
Sc (0.040, 0.790, 0.083)
Sc (0.960, 0.210, 0.917)
Sc (0.457, 0.707, 0.917)
Sc (0.287, 0.538, 0.584)

For the excess energy over the best structure of this formula in the dataset, the calculation gives 31.4 meV per atom. The value obtained for the energy of formation from the pure elements is 0.069 eV per atom.

***

Number 1: total magnetization 0.00 μB per formula unit. Number 2: total magnetization 0.00 μB per formula unit. Number 3: total magnetization 0.00 μB per formula unit.